1.
The following is a PBE calculation of crystalline Pm4Hg at its relaxed geometry, from the Alexandria database.

Structure (extended XYZ):
```
5
Lattice="3.6631 0.0000 -0.5531 -0.0835 3.6621 -0.5531 -0.0784 -0.0802 11.8864" Properties=species:S:1:pos:R:3 pbc="T T T"
Pm 2.0858 2.1339 1.4075
Pm 1.4153 1.4479 9.3726
Pm 0.6690 0.6844 4.4303
Hg 0.0000 0.0000 0.0000
Pm 2.8321 2.8975 6.3499
```

Formation energy in meV/atom: -179.3
Crystal system: tetragonal
Energy relative to the lowest polymorph listed for this composition in meV/atom: 0

2.
The following is a PBE calculation of crystalline CeSmFe at its relaxed geometry, from the Alexandria database.

Structure (extended XYZ):
```
3
Lattice="5.0586 0.0000 0.0000 0.0000 4.0556 0.0000 0.0000 -2.0278 3.5123" Properties=species:S:1:pos:R:3 pbc="T T T"
Fe 0.8466 0.0000 0.0000
Sm 3.3706 2.0278 1.1708
Ce 0.8414 0.0000 2.3415
```

Formation energy in meV/atom: 34.7
Crystal system: trigonal
Energy relative to the lowest polymorph listed for this composition in meV/atom: 0

3.
The following is a PBE calculation of crystalline ReNiAu2 at its relaxed geometry, from the Alexandria database.

Structure (extended XYZ):
```
4
Lattice="4.7501 -0.0153 0.0000 1.3464 4.5553 0.0000 -3.0482 -2.2700 2.8494" Properties=species:S:1:pos:R:3 pbc="T T T"
Au 3.0482 2.2700 0.0000
Re 2.3750 -0.0077 1.4247
Ni 0.6732 2.2776 1.4247
Au 0.0000 0.0000 0.0000
```

Formation energy in meV/atom: 555.2
Crystal system: tetragonal
Energy relative to the lowest polymorph listed for this composition in meV/atom: 385

4.
The following is a PBE calculation of crystalline TlCr2Hg at its relaxed geometry, from the Alexandria database.

Structure (extended XYZ):
```
4
Lattice="-8.9821 -1.4685 2.5415 -8.8509 -3.3098 0.0088 -7.8875 -4.3949 2.7867" Properties=species:S:1:pos:R:3 pbc="T T T"
Tl -19.0606 -6.7980 3.9551
Cr -25.3568 -9.0435 5.2616
Cr -6.7440 -2.4053 1.3994
Hg -13.1399 -4.6864 2.7265
```

Formation energy in meV/atom: 526.7
Crystal system: trigonal

5.
The following is a PBE calculation of crystalline AlPF at its relaxed geometry, from the Alexandria database.

Structure (extended XYZ):
```
6
Lattice="3.9561 -0.0022 -0.0113 1.9667 4.7807 -0.0047 1.7322 1.7700 5.5986" Properties=species:S:1:pos:R:3 pbc="T T T"
Al 2.8546 0.6481 1.3404
P 0.8713 1.3106 0.1957
F 2.8772 2.0401 2.6816
Al 4.8005 5.9005 4.2422
P 6.7838 5.2380 5.3869
F 4.7779 4.5084 2.9010
```

Uncorrected formation energy in eV/atom: -1.64
Crystal system: triclinic
Energy relative to the lowest polymorph listed for this composition in meV/atom: 5

6.
The following is a PBE calculation of crystalline ScAl4Cr at its relaxed geometry, from the Alexandria database.

Structure (extended XYZ):
```
6
Lattice="0.0000 3.7021 3.7021 3.7021 0.0000 3.7021 3.7021 3.7021 0.0000" Properties=species:S:1:pos:R:3 pbc="T T T"
Sc 0.0000 0.0000 0.0000
Al 4.6293 2.7749 4.6293
Al 2.7749 2.7749 2.7749
Cr 5.5532 5.5532 5.5532
Al 2.7749 4.6293 4.6293
Al 4.6293 4.6293 2.7749
```

Formation energy in meV/atom: -112.0
Crystal system: cubic
Energy relative to the lowest polymorph listed for this composition in meV/atom: 15

| no. | total energy (Ry/atom) |
| --- | --- |
| 1 | -0.2969 |
| 2 | -0.4658 |
| 3 | -0.4146 |
| 4 | -0.3640 |
| 5 | -0.3909 |
| 6 | -0.3871 |